CuNi2Rh meta-GGA SCAN PBEsol geometry; volume = 11.468 Å³ per atom; symmetry = Cmmm, No. 65; formation enthalpy at 0 K = 0.057 eV/atom
1.0
2.548 0.000 0.000
0.000 4.363 0.017
0.000 -1.436 4.120
Cu Ni Rh
1 2 1
direct
0.500 0.500 0.500
0.000 0.500 0.000
0.000 0.000 0.500
0.500 0.000 0.000